# Rb2MnFeF | the Alexandria database | PBE with a Hubbard U | optimized geometry
data_Rb2MnFeF
_symmetry_space_group_name_H-M 'P 4/m m m'
_symmetry_Int_Tables_number 123
_symmetry_space_group_name_Hall '-P 4 2'
_cell_length_a 6.7966
_cell_length_b 6.7966
_cell_length_c 5.0562
_cell_angle_alpha 90.00
_cell_angle_beta 90.00
_cell_angle_gamma 90.00
loop_
_atom_site_label
_atom_site_type_symbol
_atom_site_fract_x
_atom_site_fract_y
_atom_site_fract_z
Rb1 Rb 0.0000 0.5000 0.0000
Mn1 Mn 0.0000 0.0000 0.0000
Fe1 Fe 0.0000 0.0000 0.5000
F1 F 0.5000 0.5000 0.5000
# Total energy = -3.172 eV/atom
# Total magnetic moment = 8.3 μB per formula unit